[1]
Entry from Alexandria: a geometry-optimized MgMnCoOs structure (PBE-GGA).

Its crystal system is cubic. The electronic total energy comes out at -7.055 eV per atom.

The space group is F-43m (No. 216) and the conventional cell measures 5.9224, 5.9224 and 5.9224 Å, with angles of 90.00, 90.00 and 90.00 degrees. The inequivalent atoms are Mg at (0.0000, 0.0000, 0.0000), Mn at (0.2500, 0.2500, 0.7500), Co at (0.2500, 0.2500, 0.2500) and Os at (0.0000, 0.0000, 0.5000).

[2]
Entry from Alexandria: a geometry-optimized MgMnCoPt structure (PBE-GGA).

Its crystal system is cubic. The electronic total energy comes out at -6.238 eV per atom.

The space group is F-43m (No. 216) and the conventional cell measures 6.0657, 6.0657 and 6.0657 Å, with angles of 90.00, 90.00 and 90.00 degrees. The inequivalent atoms are Mg at (0.0000, 0.0000, 0.0000), Mn at (0.0000, 0.0000, 0.5000), Co at (0.2500, 0.2500, 0.2500) and Pt at (0.2500, 0.2500, 0.7500).

[3]
Entry from Alexandria: a geometry-optimized PuMgMnCo structure (PBE-GGA).

Its crystal system is cubic. The electronic total energy comes out at -7.967 eV per atom.

The space group is F-43m (No. 216) and the conventional cell measures 6.4286, 6.4286 and 6.4286 Å, with angles of 90.00, 90.00 and 90.00 degrees. The inequivalent atoms are Pu at (0.0000, 0.0000, 0.0000), Mg at (0.0000, 0.0000, 0.5000), Mn at (0.2500, 0.2500, 0.7500) and Co at (0.2500, 0.2500, 0.2500).

[4]
Entry from Alexandria: a geometry-optimized MgMnCoRh structure (PBE-GGA).

Its crystal system is cubic. The electronic total energy comes out at -6.375 eV per atom.

The space group is F-43m (No. 216) and the conventional cell measures 5.9916, 5.9916 and 5.9916 Å, with angles of 90.00, 90.00 and 90.00 degrees. The inequivalent atoms are Mg at (0.0000, 0.0000, 0.0000), Mn at (0.0000, 0.0000, 0.5000), Co at (0.2500, 0.2500, 0.7500) and Rh at (0.2500, 0.2500, 0.2500).

[5]
Entry from Alexandria: a geometry-optimized MgMnCoRu structure (PBE-GGA).

Its crystal system is cubic. The electronic total energy comes out at -6.685 eV per atom.

The space group is F-43m (No. 216) and the conventional cell measures 5.9289, 5.9289 and 5.9289 Å, with angles of 90.00, 90.00 and 90.00 degrees. The inequivalent atoms are Mg at (0.0000, 0.0000, 0.0000), Mn at (0.0000, 0.0000, 0.5000), Co at (0.2500, 0.2500, 0.7500) and Ru at (0.2500, 0.2500, 0.2500).

[6]
Entry from Alexandria: a geometry-optimized Mg2MnCoRu structure (PBE-GGA).

Its crystal system is tetragonal. The electronic total energy comes out at -4.855 eV per atom.

The space group is P4/mmm (No. 123) and the conventional cell measures 4.5717, 4.5717 and 4.1983 Å, with angles of 90.00, 90.00 and 90.00 degrees. The inequivalent atoms are Mg at (0.0000, 0.5000, 0.0000), Mn at (0.0000, 0.0000, 0.5000), Co at (0.0000, 0.0000, 0.0000) and Ru at (0.5000, 0.5000, 0.5000).

[7]
Entry from Alexandria: a geometry-optimized MgMnCoS4 structure (PBE-GGA).

Its crystal system is orthorhombic. As for the uncorrected formation energy: -0.661 eV/atom.

The space group is Imma (No. 74) and the conventional cell measures 6.9735, 7.0505 and 9.9011 Å, with angles of 90.00, 90.00 and 90.00 degrees. The inequivalent atoms are Mg at (0.0000, 0.2500, 0.1235), Mn at (0.2500, 0.2500, 0.7500), Co at (0.0000, 0.0000, 0.5000), S at (0.0000, 0.0277, 0.7303) and S at (0.2129, 0.2500, 0.5151).

[8]
Entry from Alexandria: a geometry-optimized Mg2Mn3CoS8 structure (PBE-GGA).

Its crystal system is trigonal. As for the uncorrected formation energy: -0.691 eV/atom.

The space group is R-3m (No. 166, hexagonal axes) and the conventional cell measures 7.1540, 7.1540 and 17.5565 Å, with angles of 90.00, 90.00 and 120.00 degrees. The inequivalent atoms are Mg at (0.0000, 0.0000, 0.1239), Mn at (0.0000, 0.5000, 0.0000), Co at (0.0000, 0.0000, 0.5000), S at (0.0000, 0.0000, 0.2620) and S at (0.0430, 0.5215, 0.2507).

[9]
Entry from Alexandria: a geometry-optimized MgMn2CoSe structure (PBE-GGA).

Its crystal system is tetragonal. As for the uncorrected formation energy: 0.446 eV/atom.

The space group is P4/mmm (No. 123) and the conventional cell measures 4.6604, 4.6604 and 4.4125 Å, with angles of 90.00, 90.00 and 90.00 degrees. The inequivalent atoms are Mg at (0.0000, 0.0000, 0.0000), Mn at (0.0000, 0.5000, 0.5000), Co at (0.5000, 0.5000, 0.5000) and Se at (0.5000, 0.5000, 0.0000).

[10]
Entry from Alexandria: a geometry-optimized MgMnCoSn structure (PBE-GGA).

Its crystal system is cubic. The electronic total energy comes out at -5.415 eV per atom.

The space group is F-43m (No. 216) and the conventional cell measures 6.3179, 6.3179 and 6.3179 Å, with angles of 90.00, 90.00 and 90.00 degrees. The inequivalent atoms are Mg at (0.0000, 0.0000, 0.0000), Mn at (0.2500, 0.2500, 0.2500), Co at (0.2500, 0.2500, 0.7500) and Sn at (0.0000, 0.0000, 0.5000).

[11]
Entry from Alexandria: a geometry-optimized Mg14CoMo structure (PBE-GGA).

Its crystal system is orthorhombic. The calculation puts the energy above the most stable polymorph in this dataset at 0.000 eV/f.u.

The space group is Amm2 (No. 38) and the conventional cell measures 9.9111, 6.1719 and 10.7720 Å, with angles of 90.00, 90.00 and 90.00 degrees. The inequivalent atoms are Mg at (0.0000, 0.0000, 0.0000), Mg at (0.0000, 0.0000, 0.4994), Mg at (0.0000, 0.2492, 0.2518), Mg at (0.2559, 0.0000, 0.6619), Mg at (0.2640, 0.0000, 0.1605), Mg at (0.2731, 0.2493, 0.9229), Mg at (0.5000, 0.2470, 0.7493), Co at (0.5000, 0.0000, 0.0065) and Mo at (0.5000, 0.0000, 0.5074).

[12]
Entry from Alexandria: a geometry-optimized MgCo4Mo structure (PBE-GGA).

Its crystal system is cubic. The electronic total energy comes out at -6.752 eV per atom.

The space group is F-43m (No. 216) and the conventional cell measures 6.6454, 6.6454 and 6.6454 Å, with angles of 90.00, 90.00 and 90.00 degrees. The inequivalent atoms are Mg at (0.0000, 0.0000, 0.0000), Co at (0.1256, 0.1256, 0.6256) and Mo at (0.2500, 0.2500, 0.2500).